Record 1
{
  "formula": "Na3TbDy2Te6",
  "functional": "PBE",
  "state": "relaxed",
  "lattice_angstrom": [[-3.1775, 0.2616, -6.9826], [7.2565, -2.3619, 0.8289], [-3.7735, -6.4231, 2.8831]],
  "species": ["Na", "Na", "Na", "Tb", "Dy", "Dy", "Te", "Te", "Te", "Te", "Te", "Te"],
  "fractional_positions": [[0.1667, 0.8333, 0.5000], [0.8333, 0.1667, 0.5000], [0.5000, 0.5000, 0.5000], [0.0000, 0.0000, 0.0000], [0.3334, 0.6666, 0.0000], [0.6666, 0.3334, 0.0000], [0.9226, 0.5883, 0.7678], [0.7431, 0.7431, 0.2324], [0.0774, 0.4117, 0.2322], [0.5883, 0.9226, 0.7678], [0.2569, 0.2569, 0.7676], [0.4117, 0.0774, 0.2322]],
  "space_group": "C2/m, No. 12",
  "total_energy_ev_per_atom": -4.37,
  "raw_formation_energy_ev_per_atom": -1.318
}



Record 2
{
  "formula": "Er3Hg2Pd6",
  "functional": "PBE",
  "state": "relaxed",
  "lattice_angstrom": [[-1.9375, -3.0611, 1.3140], [3.3152, -1.9209, 0.4134], [0.6287, 7.8894, 13.6556]],
  "species": ["Er", "Er", "Er", "Hg", "Hg", "Pd", "Pd", "Pd", "Pd", "Pd", "Pd"],
  "fractional_positions": [[0.0000, 0.0000, 0.0000], [0.8136, 0.8136, 0.6272], [0.1864, 0.1864, 0.3728], [0.3672, 0.3672, 0.7344], [0.6328, 0.6328, 0.2656], [0.0672, 0.5672, 0.1344], [0.5672, 0.0672, 0.1344], [0.9328, 0.4328, 0.8656], [0.4328, 0.9328, 0.8656], [0.7241, 0.7241, 0.4482], [0.2759, 0.2759, 0.5518]],
  "space_group": "I4/mmm, No. 139",
  "total_energy_ev_per_atom": -4.66,
  "dos_ef_per_ev_cell": 7.632
}



Record 3
{
  "formula": "BaGdSnAu",
  "functional": "PBE",
  "state": "relaxed",
  "lattice_angstrom": [[-0.6507, -0.2152, -5.5413], [-4.9665, -1.3284, -2.1782], [-3.0362, 3.8932, -2.6077]],
  "species": ["Gd", "Au", "Ba", "Sn"],
  "fractional_positions": [[0.5000, 0.5000, 0.5000], [0.2500, 0.2500, 0.2500], [0.0000, 0.0000, 0.0000], [0.7500, 0.7500, 0.7500]],
  "space_group": "F-43m, No. 216",
  "total_energy_ev_per_atom": -6.42,
  "dos_ef_per_ev_cell": 3.679
}



Record 4
{
  "formula": "RePOs2",
  "functional": "PBE",
  "state": "relaxed",
  "lattice_angstrom": [[2.8595, -3.5383, 0.0000], [2.8595, 3.5383, 0.0000], [0.0000, 0.0000, 2.8145]],
  "species": ["Re", "P", "Os", "Os"],
  "fractional_positions": [[0.5000, 0.5000, 0.5000], [0.0000, 0.0000, 0.5000], [0.5000, 0.0000, 0.0000], [0.0000, 0.5000, 0.0000]],
  "space_group": "Cmmm, No. 65",
  "total_energy_ev_per_atom": -9.62,
  "dos_ef_per_ev_cell": 3.882
}



Record 5
{
  "formula": "ErPu2Ga6",
  "functional": "PBE",
  "state": "relaxed",
  "lattice_angstrom": [[-1.7005, 1.5034, 2.6101], [-3.4404, 4.8675, -5.0451], [-3.3596, -6.8301, 1.7452]],
  "species": ["Er", "Pu", "Pu", "Ga", "Ga", "Ga", "Ga", "Ga", "Ga"],
  "fractional_positions": [[0.0000, 0.0000, 0.0000], [0.0000, 0.3333, 0.6667], [0.0000, 0.6667, 0.3333], [0.5000, 0.3312, 0.3312], [0.5000, 0.6688, 0.6688], [0.5000, 0.0000, 0.6688], [0.5000, 0.6688, 0.0000], [0.5000, 0.3312, 0.0000], [0.5000, 0.0000, 0.3312]],
  "space_group": "P6/mmm, No. 191",
  "total_energy_ev_per_atom": -6.16,
  "dos_ef_per_ev_cell": 14.276
}



Record 6
{
  "formula": "PmErNi",
  "functional": "PBE",
  "state": "relaxed",
  "lattice_angstrom": [[6.6142, 0.0000, 0.1341], [0.0000, 6.7205, 0.0000], [-1.8149, 0.0000, 6.7991]],
  "species": ["Ni", "Ni", "Ni", "Ni", "Er", "Er", "Er", "Er", "Pm", "Pm", "Pm", "Pm"],
  "fractional_positions": [[0.5094, 0.4691, 0.2049], [0.4906, 0.5309, 0.7951], [0.0094, 0.0309, 0.7049], [0.9906, 0.9691, 0.2951], [0.1909, 0.3395, 0.9167], [0.8091, 0.6605, 0.0833], [0.3091, 0.8395, 0.5833], [0.6909, 0.1605, 0.4167], [0.2939, 0.8366, 0.0695], [0.7939, 0.6634, 0.5695], [0.7061, 0.1634, 0.9305], [0.2061, 0.3366, 0.4305]],
  "space_group": "P2_1/c, No. 14",
  "total_energy_ev_per_atom": -5.20,
  "dos_ef_per_ev_cell": 13.893
}